Here is a relaxed structure of CoNi2RuF from the Alexandria database. Energies are from PBE+U.

Calculated values
Final energy: -2.976 eV/atom

Unit cell a=4.3921 b=4.3921 c=4.4637 alpha=90.00 beta=90.00 gamma=90.00
Space group P4/mmm (No. 123)
One atom of each set of equivalent atoms:
1 Co 0.0000 0.0000 0.0000 x1
2 Ni 0.0000 0.5000 0.0000 x2
3 Ru 0.0000 0.0000 0.5000 x1
4 F 0.5000 0.5000 0.5000 x1